# 1
DFT (PBE-GGA) results for an optimized crystal structure of K3PCl.

Structure (POSCAR):
```
K3PCl
1.0
5.811 0.000 0.000
0.000 5.811 0.000
0.000 0.000 5.811
K P Cl
3 1 1
direct
0.000 0.000 0.500
0.000 0.500 0.000
0.500 0.000 0.000
0.500 0.500 0.500
0.000 0.000 0.000
```

## Properties
DOS at the Fermi energy: 4.369 states/eV/cell
raw formation energy: -616 meV per atom
crystal system: cubic
polymorph energy (0 for the lowest one): 0 meV per atom

***

# 2
DFT (PBE-GGA) results for an optimized crystal structure of KP2Cl.

Structure (POSCAR):
```
KP2Cl
1.0
7.012 0.000 0.000
0.000 7.012 0.000
0.000 0.000 7.012
K P Cl
4 8 4
direct
0.000 0.000 0.000
0.000 0.500 0.500
0.500 0.000 0.500
0.500 0.500 0.000
0.000 0.000 0.500
0.000 0.500 0.000
0.250 0.250 0.250
0.250 0.750 0.750
0.500 0.000 0.000
0.500 0.500 0.500
0.750 0.250 0.750
0.750 0.750 0.250
0.250 0.250 0.750
0.250 0.750 0.250
0.750 0.250 0.250
0.750 0.750 0.750
```

## Properties
DOS at the Fermi energy: 2.565 states/eV/cell
raw formation energy: 255 meV per atom
crystal system: cubic
polymorph energy (0 for the lowest one): 835 meV per atom

***

# 3
DFT (PBE-GGA) results for an optimized crystal structure of KPCl2.

Structure (POSCAR):
```
KPCl2
1.0
7.518 0.000 0.000
0.000 7.518 0.000
0.000 0.000 7.518
K P Cl
4 4 8
direct
0.000 0.000 0.000
0.000 0.500 0.500
0.500 0.000 0.500
0.500 0.500 0.000
0.250 0.250 0.750
0.250 0.750 0.250
0.750 0.250 0.250
0.750 0.750 0.750
0.000 0.000 0.500
0.000 0.500 0.000
0.250 0.250 0.250
0.250 0.750 0.750
0.500 0.000 0.000
0.500 0.500 0.500
0.750 0.250 0.750
0.750 0.750 0.250
```

## Properties
DOS at the Fermi energy: 24.579 states/eV/cell
raw formation energy: 76 meV per atom
crystal system: cubic
polymorph energy (0 for the lowest one): 717 meV per atom

***

# 4
DFT (PBE-GGA) results for an optimized crystal structure of KPCl2.

Structure (POSCAR):
```
KPCl2
1.0
10.548 0.000 0.000
0.000 4.842 0.000
-0.270 0.000 4.841
K P Cl
2 2 4
direct
0.000 0.000 0.000
0.500 0.500 0.000
0.224 0.000 0.536
0.724 0.500 0.536
0.231 0.500 0.660
0.420 0.000 0.439
0.731 0.000 0.660
0.920 0.500 0.439
```

## Properties
raw formation energy: -642 meV per atom
crystal system: monoclinic
polymorph energy (0 for the lowest one): 0 meV per atom

***

Q: Which value of raw formation energy does entry 4 give?
A: -642 meV per atom